[1]
RbCeCd2: relaxed, PBE-GGA.

Values from the calculation:
Formation energy: -7 meV per atom

```
data_RbCeCd2
_chemical_formula_sum 'Rb1 Ce1 Cd2'
_symmetry_space_group_name_H-M 'P 4/m m m'
_symmetry_Int_Tables_number 123
_symmetry_space_group_name_Hall '-P 4 2'
_cell_length_a 3.8817
_cell_length_b 3.8817
_cell_length_c 9.0466
_cell_angle_alpha 90.00
_cell_angle_beta 90.00
_cell_angle_gamma 90.00
loop_
_atom_site_label
_atom_site_fract_x
_atom_site_fract_y
_atom_site_fract_z
Rb1 0.0000 0.0000 0.0000
Ce1 0.0000 0.0000 0.5000
Cd1 0.5000 0.5000 0.2977
```

[2]
Ag3IrCl: relaxed, PBE-GGA.

Values from the calculation:
Energy relative to the lowest polymorph listed for this composition: 0.0 meV/atom

```
data_Ag3IrCl
_chemical_formula_sum 'Ag3 Ir1 Cl1'
_symmetry_space_group_name_H-M 'P m -3 m'
_symmetry_Int_Tables_number 221
_symmetry_space_group_name_Hall '-P 4 2 3'
_cell_length_a 5.1286
_cell_length_b 5.1286
_cell_length_c 5.1286
_cell_angle_alpha 90.00
_cell_angle_beta 90.00
_cell_angle_gamma 90.00
loop_
_atom_site_label
_atom_site_fract_x
_atom_site_fract_y
_atom_site_fract_z
Ag1 0.0000 0.0000 0.5000
Ir1 0.0000 0.0000 0.0000
Cl1 0.5000 0.5000 0.5000
```

[3]
AgHg2Ir: relaxed, PBE-GGA.

Values from the calculation:
Energy relative to the lowest polymorph listed for this composition: 268.3 meV/atom
Formation energy: 605 meV per atom

```
data_AgHg2Ir
_chemical_formula_sum 'Ag4 Hg8 Ir4'
_symmetry_space_group_name_H-M 'I -4 2 d'
_symmetry_Int_Tables_number 122
_symmetry_space_group_name_Hall 'I -4 2bw'
_cell_length_a 4.1382
_cell_length_b 4.1382
_cell_length_c 19.2951
_cell_angle_alpha 90.00
_cell_angle_beta 90.00
_cell_angle_gamma 90.00
loop_
_atom_site_label
_atom_site_fract_x
_atom_site_fract_y
_atom_site_fract_z
Ag1 0.0000 0.0000 0.0000
Hg1 0.2391 0.2500 0.6250
Ir1 0.0000 0.0000 0.5000
```

[4]
ScNi3H: relaxed, PBE-GGA.

Values from the calculation:
Energy relative to the lowest polymorph listed for this composition: 524.1 meV/atom

```
data_ScNi3H
_chemical_formula_sum 'Sc4 Ni12 H4'
_symmetry_space_group_name_H-M 'C m c m'
_symmetry_Int_Tables_number 63
_symmetry_space_group_name_Hall '-C 2c 2'
_cell_length_a 4.7493
_cell_length_b 12.9443
_cell_length_c 4.6769
_cell_angle_alpha 90.00
_cell_angle_beta 90.00
_cell_angle_gamma 90.00
loop_
_atom_site_label
_atom_site_fract_x
_atom_site_fract_y
_atom_site_fract_z
Sc1 0.0000 0.1866 0.2500
Ni1 0.0000 0.0000 0.0000
Ni2 0.2505 0.1331 0.7500
H1 0.0000 0.4477 0.2500
```

[5]
Sr5TlHg4: relaxed, PBE-GGA.

Values from the calculation:
Formation energy: -514 meV per atom

```
data_Sr5TlHg4
_chemical_formula_sum 'Sr5 Tl1 Hg4'
_symmetry_space_group_name_H-M 'P 4/m m m'
_symmetry_Int_Tables_number 123
_symmetry_space_group_name_Hall '-P 4 2'
_cell_length_a 4.0323
_cell_length_b 4.0323
_cell_length_c 20.0554
_cell_angle_alpha 90.00
_cell_angle_beta 90.00
_cell_angle_gamma 90.00
loop_
_atom_site_label
_atom_site_fract_x
_atom_site_fract_y
_atom_site_fract_z
Sr1 0.0000 0.0000 0.0000
Sr2 0.0000 0.0000 0.1986
Sr3 0.0000 0.0000 0.3964
Tl1 0.5000 0.5000 0.5000
Hg1 0.5000 0.5000 0.0989
Hg2 0.5000 0.5000 0.2985
```

[6]
SmDyBeNi: relaxed, PBE-GGA.

Values from the calculation:
Formation energy: -87 meV per atom

```
data_SmDyBeNi
_chemical_formula_sum 'Sm4 Dy4 Be4 Ni4'
_symmetry_space_group_name_H-M 'F -4 3 m'
_symmetry_Int_Tables_number 216
_symmetry_space_group_name_Hall 'F -4 2 3'
_cell_length_a 6.8654
_cell_length_b 6.8654
_cell_length_c 6.8654
_cell_angle_alpha 90.00
_cell_angle_beta 90.00
_cell_angle_gamma 90.00
loop_
_atom_site_label
_atom_site_fract_x
_atom_site_fract_y
_atom_site_fract_z
Sm1 0.0000 0.0000 0.0000
Dy1 0.0000 0.0000 0.5000
Be1 0.2500 0.2500 0.2500
Ni1 0.2500 0.2500 0.7500
```

[7]
Pr2ErAu: relaxed, PBE-GGA.

Values from the calculation:
Energy relative to the lowest polymorph listed for this composition: 63.7 meV/atom
Formation energy: -328 meV per atom

```
data_Pr2ErAu
_chemical_formula_sum 'Pr2 Er1 Au1'
_symmetry_space_group_name_H-M 'P 4/m m m'
_symmetry_Int_Tables_number 123
_symmetry_space_group_name_Hall '-P 4 2'
_cell_length_a 3.7678
_cell_length_b 3.7678
_cell_length_c 8.4732
_cell_angle_alpha 90.00
_cell_angle_beta 90.00
_cell_angle_gamma 90.00
loop_
_atom_site_label
_atom_site_fract_x
_atom_site_fract_y
_atom_site_fract_z
Pr1 0.0000 0.0000 0.2147
Er1 0.5000 0.5000 0.5000
Au1 0.5000 0.5000 0.0000
```

[8]
UBr2O2: relaxed, PBE-GGA.

```
data_UBr2O2
_chemical_formula_sum 'U2 Br4 O4'
_symmetry_space_group_name_H-M 'C m m m'
_symmetry_Int_Tables_number 65
_symmetry_space_group_name_Hall '-C 2 2'
_cell_length_a 8.0013
_cell_length_b 8.6731
_cell_length_c 4.4146
_cell_angle_alpha 90.00
_cell_angle_beta 90.00
_cell_angle_gamma 90.00
loop_
_atom_site_label
_atom_site_fract_x
_atom_site_fract_y
_atom_site_fract_z
U1 0.0000 0.0000 0.0000
Br1 0.2345 0.0000 0.5000
O1 0.0000 0.2056 0.0000
```

[9]
Pr2HfNi: relaxed, PBE-GGA.

Values from the calculation:
Formation energy: 447 meV per atom

```
data_Pr2HfNi
_chemical_formula_sum 'Pr6 Hf3 Ni3'
_symmetry_space_group_name_H-M 'R -3 m'
_symmetry_Int_Tables_number 166
_symmetry_space_group_name_Hall '-R 3 2"'
_cell_length_a 3.4232
_cell_length_b 3.4232
_cell_length_c 31.3278
_cell_angle_alpha 90.00
_cell_angle_beta 90.00
_cell_angle_gamma 120.00
loop_
_atom_site_label
_atom_site_fract_x
_atom_site_fract_y
_atom_site_fract_z
Pr1 0.0000 0.0000 0.1029
Hf1 0.0000 0.0000 0.0000
Ni1 0.0000 0.0000 0.5000
```

[10]
CeSmDy2S4: relaxed, PBE-GGA.

```
data_CeSmDy2S4
_chemical_formula_sum 'Ce1 Sm1 Dy2 S4'
_symmetry_space_group_name_H-M 'P 1 2/m 1'
_symmetry_Int_Tables_number 10
_cell_length_a 6.8427
_cell_length_b 3.9364
_cell_length_c 6.9060
_cell_angle_alpha 90.00
_cell_angle_beta 109.18
_cell_angle_gamma 90.00
loop_
_symmetry_equiv_pos_as_xyz
'x,y,z'
'-x,-y,-z'
'-x,y,-z'
'x,-y,z'
loop_
_atom_site_label
_atom_site_fract_x
_atom_site_fract_y
_atom_site_fract_z
Ce1 0.0000 0.0000 0.0000
Sm1 0.5000 0.5000 0.0000
Dy1 0.0000 0.5000 0.5000
Dy2 0.5000 0.0000 0.5000
S1 0.2471 0.0000 0.7398
S2 0.2544 0.5000 0.2608
```

[11]
CsCd6In: relaxed, PBE-GGA.

Values from the calculation:
Formation energy: -7 meV per atom

```
data_CsCd6In
_chemical_formula_sum 'Cs1 Cd6 In1'
_symmetry_space_group_name_H-M 'P 4/m m m'
_symmetry_Int_Tables_number 123
_symmetry_space_group_name_Hall '-P 4 2'
_cell_length_a 4.9567
_cell_length_b 4.9567
_cell_length_c 9.9071
_cell_angle_alpha 90.00
_cell_angle_beta 90.00
_cell_angle_gamma 90.00
loop_
_atom_site_label
_atom_site_fract_x
_atom_site_fract_y
_atom_site_fract_z
Cs1 0.0000 0.0000 0.0000
Cd1 0.0000 0.5000 0.3271
Cd2 0.5000 0.5000 0.1522
In1 0.0000 0.0000 0.5000
```

[12]
InRuRh: relaxed, PBE-GGA.

Values from the calculation:
Energy relative to the lowest polymorph listed for this composition: 0.0 meV/atom
Formation energy: 12 meV per atom

```
data_InRuRh
_chemical_formula_sum 'In2 Ru2 Rh2'
_symmetry_space_group_name_H-M 'I 4 m m'
_symmetry_Int_Tables_number 107
_symmetry_space_group_name_Hall 'I 4 -2'
_cell_length_a 2.8960
_cell_length_b 2.8960
_cell_length_c 11.5346
_cell_angle_alpha 90.00
_cell_angle_beta 90.00
_cell_angle_gamma 90.00
loop_
_atom_site_label
_atom_site_fract_x
_atom_site_fract_y
_atom_site_fract_z
In1 0.0000 0.0000 0.0000
Ru1 0.0000 0.0000 0.6776
Rh1 0.0000 0.0000 0.3214
```

Looking at VASP energy for the records above, in order, we have -8.76, -14.28, -39.58, -105.99, -17.12, -76.70, -18.71, -70.34, -70.51, -52.55, -9.14, -38.66 eV for the cell shown.
Looking at M_tot for the records above, in order, we have 1.5, 1.1, 0.0, 0.0, 0.0, 0.0, 0.0, 0.0, 0.0, 0.7, 0.0, 0.0 μB/f.u..